Entry 1:
# TiV8

Crystalline TiV8 at its relaxed geometry (PBE, Alexandria via LeMat-Bulk).

Cell and atoms, written as POSCAR:
```
TiV8
1.0
-0.869 2.511 3.633
-4.837 -1.533 2.691
2.304 -2.129 4.811
V Ti
8 1
direct
0.000 0.340 0.660
0.332 0.337 0.000
0.000 0.660 0.340
0.660 0.340 0.340
0.668 0.663 0.000
0.340 0.660 0.660
0.668 0.000 0.663
0.332 0.000 0.337
0.000 0.000 0.000
```

## Properties
The symmetry is No. 139. Its calculated formation energy is 0.112 eV/atom. As for the total energy: -8.87 eV per atom.



Entry 2:
# TiV5

Crystalline TiV5 at its relaxed geometry (PBE, Alexandria via LeMat-Bulk).

Cell and atoms, written as POSCAR:
```
TiV5
1.0
-1.804 0.825 -4.830
3.746 -3.766 1.003
-3.433 -6.328 1.503
V Ti
10 2
direct
0.241 0.001 0.093
0.250 0.500 0.750
0.741 0.001 0.593
0.259 0.511 0.081
0.741 0.489 0.919
0.259 0.999 0.407
0.241 0.489 0.419
0.759 0.999 0.907
0.759 0.511 0.581
0.750 0.500 0.250
0.250 0.000 0.750
0.750 0.000 0.250
```

## Properties
The symmetry is No. 2. Its calculated formation energy is 0.033 eV/atom. As for the total energy: -8.88 eV per atom. For the relative energy among the computed polymorphs, the calculation gives 0.000 eV/atom.



Entry 3:
# TiV4

Crystalline TiV4 at its relaxed geometry (PBE, Alexandria via LeMat-Bulk).

Cell and atoms, written as POSCAR:
```
TiV4
1.0
-2.185 0.188 3.787
2.343 -3.369 1.519
2.981 2.786 1.582
V Ti
4 1
direct
0.000 0.500 0.500
0.500 0.500 0.000
0.000 0.000 0.000
0.500 0.000 0.500
0.500 0.500 0.500
```

## Properties
The symmetry is No. 221. Its calculated formation energy is 1.280 eV/atom. As for the total energy: -7.59 eV per atom. For the relative energy among the computed polymorphs, the calculation gives 0.853 eV/atom.



Entry 4:
# Ti2V7

Crystalline Ti2V7 at its relaxed geometry (PBE, Alexandria via LeMat-Bulk).

Cell and atoms, written as POSCAR:
```
Ti2V7
1.0
-2.904 -1.479 -4.030
-2.250 -4.669 0.002
-11.172 2.510 3.796
Ti V
4 14
direct
0.847 0.847 0.459
0.059 0.059 0.822
0.153 0.153 0.541
0.941 0.941 0.178
0.500 0.500 0.000
0.613 0.108 0.666
0.612 0.612 0.165
0.722 0.722 0.834
0.278 0.278 0.166
0.892 0.387 0.334
0.000 0.500 0.000
0.387 0.892 0.334
0.500 0.000 0.000
0.387 0.387 0.334
0.500 0.500 0.500
0.108 0.613 0.666
0.613 0.613 0.666
0.388 0.388 0.835
```

## Properties
The symmetry is No. 166. Its calculated formation energy is 0.204 eV/atom. As for the total energy: -8.64 eV per atom.



Entry 5:
# TiV5

Crystalline TiV5 at its relaxed geometry (PBE, Alexandria via LeMat-Bulk).

Cell and atoms, written as POSCAR:
```
TiV5
1.0
4.229 0.000 0.000
-2.114 4.563 -0.440
0.000 -2.677 4.631
V Ti
5 1
direct
0.972 0.944 0.444
0.649 0.298 0.300
0.295 0.591 0.589
0.631 0.262 0.777
0.313 0.627 0.112
0.972 0.944 0.944
```

## Properties
The symmetry is No. 12. Its calculated formation energy is 0.040 eV/atom. As for the total energy: -8.87 eV per atom. For the relative energy among the computed polymorphs, the calculation gives 0.007 eV/atom.



Entry 6:
# Ti3V13

Crystalline Ti3V13 at its relaxed geometry (PBE, Alexandria via LeMat-Bulk).

Cell and atoms, written as POSCAR:
```
Ti3V13
1.0
-2.602 5.503 -0.374
-1.238 -0.982 -5.890
-5.357 -2.429 1.530
V Ti
13 3
direct
0.004 0.505 0.254
0.004 0.505 0.746
0.259 0.741 0.000
0.261 0.258 0.000
0.742 0.739 0.000
0.260 0.740 0.500
0.495 0.996 0.254
0.259 0.259 0.500
0.495 0.505 0.254
0.741 0.741 0.500
0.495 0.505 0.746
0.741 0.259 0.500
0.495 0.996 0.746
0.004 0.996 0.746
0.740 0.260 0.000
0.004 0.996 0.254
```

## Properties
The symmetry is No. 38. Its calculated formation energy is 0.046 eV/atom. As for the total energy: -8.84 eV per atom.



Entry 7:
# TiV5

Crystalline TiV5 at its relaxed geometry (PBE, Alexandria via LeMat-Bulk).

Cell and atoms, written as POSCAR:
```
TiV5
1.0
-1.117 2.814 0.311
-0.514 0.272 -4.306
-5.629 -2.533 2.705
Ti V
1 5
direct
0.000 0.000 0.000
0.500 0.823 0.647
0.000 0.666 0.331
0.500 0.500 0.000
0.500 0.177 0.353
0.000 0.334 0.669
```

## Properties
The symmetry is No. 65. Its calculated formation energy is 0.041 eV/atom. As for the total energy: -8.87 eV per atom. For the relative energy among the computed polymorphs, the calculation gives 0.008 eV/atom.



Entry 8:
# TiV12

Crystalline TiV12 at its relaxed geometry (PBE, Alexandria via LeMat-Bulk).

Cell and atoms, written as POSCAR:
```
TiV12
1.0
4.981 0.000 0.000
2.491 6.102 0.000
2.491 0.000 6.102
V Ti
12 1
direct
0.642 0.358 0.358
0.000 0.500 0.000
0.704 0.796 0.796
0.500 0.796 0.204
0.000 0.642 0.358
0.000 0.000 0.500
0.500 0.500 0.000
0.000 0.358 0.642
0.296 0.204 0.204
0.500 0.204 0.796
0.500 0.000 0.500
0.358 0.642 0.642
0.000 0.000 0.000
```

## Properties
The symmetry is No. 139. Its calculated formation energy is 0.166 eV/atom. As for the total energy: -8.86 eV per atom.



Entry 9:
# TiV4

Crystalline TiV4 at its relaxed geometry (PBE, Alexandria via LeMat-Bulk).

Cell and atoms, written as POSCAR:
```
TiV4
1.0
3.575 0.017 0.000
-0.019 3.575 0.000
-1.778 -1.796 5.932
V Ti
4 1
direct
0.098 0.598 0.697
0.902 0.402 0.303
0.750 0.750 0.000
0.250 0.250 0.000
0.500 0.000 0.500
```

## Properties
The symmetry is No. 139. Its calculated formation energy is 0.427 eV/atom. As for the total energy: -8.45 eV per atom. For the relative energy among the computed polymorphs, the calculation gives 0.000 eV/atom.



Entry 10:
# TiV2W6

Crystalline TiV2W6 at its relaxed geometry (PBE, Alexandria via LeMat-Bulk).

Cell and atoms, written as POSCAR:
```
TiV2W6
1.0
2.766 0.000 0.000
-1.383 2.395 0.000
0.000 0.000 22.003
W V Ti
6 2 1
direct
0.667 0.333 0.112
0.333 0.667 0.560
0.333 0.667 0.440
0.333 0.667 0.775
0.333 0.667 0.225
0.667 0.333 0.888
0.667 0.333 0.668
0.667 0.333 0.332
0.333 0.667 0.000
```

## Properties
The symmetry is No. 187. Its calculated formation energy is 0.498 eV/atom. As for the total energy: -11.04 eV per atom. For the relative energy among the computed polymorphs, the calculation gives 0.120 eV/atom.



Entry 11:
# TiV4W3

Crystalline TiV4W3 at its relaxed geometry (PBE, Alexandria via LeMat-Bulk).

Cell and atoms, written as POSCAR:
```
TiV4W3
1.0
4.362 0.000 0.000
0.000 6.209 0.000
0.000 0.000 8.727
Ti V W
2 8 6
direct
0.000 0.500 0.500
0.000 0.500 0.000
0.500 0.246 0.500
0.000 0.246 0.250
0.500 0.754 0.000
0.500 0.754 0.500
0.000 0.754 0.250
0.000 0.754 0.750
0.500 0.246 0.000
0.000 0.246 0.750
0.500 0.000 0.750
0.500 0.000 0.250
0.500 0.500 0.750
0.000 0.000 0.500
0.500 0.500 0.250
0.000 0.000 0.000
```

## Properties
The symmetry is No. 123. Its calculated formation energy is -0.039 eV/atom. As for the total energy: -10.44 eV per atom.



Entry 12:
# TiV2W

Crystalline TiV2W at its relaxed geometry (PBE, Alexandria via LeMat-Bulk).

Cell and atoms, written as POSCAR:
```
TiV2W
1.0
-2.563 3.835 5.099
3.623 -3.648 4.565
2.565 1.794 4.576
W V Ti
2 4 2
direct
0.000 0.000 0.000
0.750 0.250 0.500
0.119 0.625 0.250
0.375 0.369 0.750
0.875 0.881 0.750
0.631 0.125 0.250
0.250 0.750 0.500
0.500 0.500 0.000
```

## Properties
The symmetry is No. 122. Its calculated formation energy is 0.586 eV/atom. As for the total energy: -9.19 eV per atom. For the relative energy among the computed polymorphs, the calculation gives 0.593 eV/atom.



Entry 13:
# Ti2V5W5

Crystalline Ti2V5W5 at its relaxed geometry (PBE, Alexandria via LeMat-Bulk).

Cell and atoms, written as POSCAR:
```
Ti2V5W5
1.0
4.309 -0.001 0.852
2.240 3.776 -0.019
0.004 -2.467 11.401
V W Ti
5 5 2
direct
0.043 0.916 0.999
0.214 0.411 0.161
0.870 0.421 0.838
0.540 0.418 0.502
0.122 0.170 0.587
0.710 0.915 0.665
0.373 0.919 0.335
0.959 0.666 0.417
0.460 0.166 0.915
0.625 0.667 0.083
0.292 0.667 0.750
0.794 0.164 0.247
```

## Properties
The symmetry is No. 8. Its calculated formation energy is -0.044 eV/atom. As for the total energy: -10.56 eV per atom.



Entry 14:
# Ti2V3W2

Crystalline Ti2V3W2 at its relaxed geometry (PBE, Alexandria via LeMat-Bulk).

Cell and atoms, written as POSCAR:
```
Ti2V3W2
1.0
-3.939 0.695 -0.946
1.901 -5.779 -3.233
-1.215 -3.419 2.541
V W Ti
3 2 2
direct
0.758 0.516 0.242
0.000 0.000 0.000
0.242 0.484 0.758
0.375 0.750 0.130
0.625 0.250 0.870
0.115 0.232 0.379
0.885 0.768 0.621
```

## Properties
The symmetry is No. 2. Its calculated formation energy is 0.319 eV/atom. As for the total energy: -9.55 eV per atom. For the relative energy among the computed polymorphs, the calculation gives 0.317 eV/atom.



Entry 15:
# Ti3VW2

Crystalline Ti3VW2 at its relaxed geometry (PBE, Alexandria via LeMat-Bulk).

Cell and atoms, written as POSCAR:
```
Ti3VW2
1.0
0.529 -3.760 -2.225
-0.446 -3.474 5.765
-6.896 1.950 -0.584
Ti W V
6 4 2
direct
0.936 0.168 0.872
0.608 0.564 0.217
0.064 0.832 0.128
0.392 0.436 0.783
0.310 0.049 0.619
0.690 0.951 0.381
0.456 0.822 0.912
0.766 0.344 0.531
0.544 0.178 0.088
0.234 0.656 0.469
0.843 0.722 0.686
0.157 0.278 0.314
```

## Properties
The symmetry is No. 12. Its calculated formation energy is 0.184 eV/atom. As for the total energy: -9.60 eV per atom.



Entry 16:
# TiVW2

Crystalline TiVW2 at its relaxed geometry (PBE, Alexandria via LeMat-Bulk).

Cell and atoms, written as POSCAR:
```
TiVW2
1.0
-1.114 1.338 6.812
3.074 -6.091 1.699
3.354 -1.138 4.400
V W Ti
2 4 2
direct
0.750 0.250 0.500
0.000 0.000 0.000
0.642 0.125 0.250
0.875 0.892 0.750
0.375 0.358 0.750
0.108 0.625 0.250
0.500 0.500 0.000
0.250 0.750 0.500
```

## Properties
The symmetry is No. 122. Its calculated formation energy is 0.696 eV/atom. As for the total energy: -10.03 eV per atom.



Entry 17:
# TiV2W3

Crystalline TiV2W3 at its relaxed geometry (PBE, Alexandria via LeMat-Bulk).

Cell and atoms, written as POSCAR:
```
TiV2W3
1.0
-1.711 0.954 3.996
-3.990 -5.249 -0.454
5.572 -3.894 0.837
V W Ti
4 6 2
direct
0.760 0.346 0.520
0.240 0.654 0.480
0.463 0.814 0.925
0.537 0.186 0.075
0.694 0.965 0.388
0.306 0.035 0.612
0.611 0.577 0.222
0.389 0.423 0.778
0.924 0.130 0.847
0.076 0.870 0.153
0.861 0.703 0.722
0.139 0.297 0.278
```

## Properties
The symmetry is No. 12. Its calculated formation energy is 0.177 eV/atom. As for the total energy: -10.65 eV per atom. For the relative energy among the computed polymorphs, the calculation gives 0.000 eV/atom.



Entry 18:
# TiVW2

Crystalline TiVW2 at its relaxed geometry (PBE, Alexandria via LeMat-Bulk).

Cell and atoms, written as POSCAR:
```
TiVW2
1.0
-0.390 2.659 1.617
-3.439 -0.935 3.748
4.668 1.583 1.565
Ti W V
1 2 1
direct
0.500 0.750 0.250
0.000 0.493 0.507
0.000 0.007 0.993
0.500 0.250 0.750
```

## Properties
The symmetry is No. 71. Its calculated formation energy is -0.048 eV/atom. As for the total energy: -10.78 eV per atom.



Entry 19:
# Ti2V5W2

Crystalline Ti2V5W2 at its relaxed geometry (PBE, Alexandria via LeMat-Bulk).

Cell and atoms, written as POSCAR:
```
Ti2V5W2
1.0
5.724 0.000 0.000
0.000 7.635 0.000
0.000 -3.818 6.448
Ti W V
4 4 10
direct
0.500 0.296 0.592
0.000 0.796 0.592
0.000 0.204 0.408
0.500 0.704 0.408
0.607 0.840 0.000
0.393 0.160 0.000
0.893 0.340 0.000
0.107 0.660 0.000
0.175 0.146 0.693
0.825 0.547 0.693
0.675 0.354 0.307
0.825 0.854 0.307
0.500 0.500 0.000
0.000 0.000 0.000
0.325 0.646 0.693
0.675 0.047 0.693
0.175 0.453 0.307
0.325 0.953 0.307
```

## Properties
The symmetry is No. 64. Its calculated formation energy is 0.493 eV/atom. As for the total energy: -9.21 eV per atom. For the relative energy among the computed polymorphs, the calculation gives 0.394 eV/atom.



Entry 20:
# TiV2W

Crystalline TiV2W at its relaxed geometry (PBE, Alexandria via LeMat-Bulk).

Cell and atoms, written as POSCAR:
```
TiV2W
1.0
-0.614 -3.399 -2.699
0.480 -4.095 1.488
-3.509 -2.580 0.488
V W Ti
2 1 1
direct
0.250 0.250 0.250
0.750 0.750 0.750
0.000 0.000 0.000
0.500 0.500 0.500
```

## Properties
The symmetry is No. 225. Its calculated formation energy is -0.008 eV/atom. As for the total energy: -9.78 eV per atom. For the relative energy among the computed polymorphs, the calculation gives 0.000 eV/atom.



Entry 21:
# TiVW2

Crystalline TiVW2 at its relaxed geometry (PBE, Alexandria via LeMat-Bulk).

Cell and atoms, written as POSCAR:
```
TiVW2
1.0
4.436 -0.503 0.000
0.856 7.532 0.000
2.218 -0.252 3.866
Ti V W
2 2 4
direct
0.000 0.750 0.000
0.000 0.250 0.000
0.667 0.750 0.667
0.333 0.250 0.333
0.333 0.927 0.333
0.333 0.573 0.333
0.667 0.427 0.667
0.667 0.073 0.667
```

## Properties
The symmetry is No. 194. Its calculated formation energy is 0.261 eV/atom. As for the total energy: -10.47 eV per atom.



Entry 22:
# Ti2V2W3

Crystalline Ti2V2W3 at its relaxed geometry (PBE, Alexandria via LeMat-Bulk).

Cell and atoms, written as POSCAR:
```
Ti2V2W3
1.0
4.449 0.000 0.000
2.224 3.843 0.223
2.224 0.908 6.373
W Ti V
3 2 2
direct
0.500 0.000 0.000
0.355 0.855 0.435
0.645 0.145 0.565
0.075 0.575 0.275
0.925 0.425 0.725
0.213 0.713 0.860
0.787 0.287 0.140
```

## Properties
The symmetry is No. 12. Its calculated formation energy is -0.043 eV/atom. As for the total energy: -10.45 eV per atom. For the relative energy among the computed polymorphs, the calculation gives 0.000 eV/atom.



Entry 23:
# Ti2V5W2

Crystalline Ti2V5W2 at its relaxed geometry (PBE, Alexandria via LeMat-Bulk).

Cell and atoms, written as POSCAR:
```
Ti2V5W2
1.0
2.842 -0.261 -1.073
-1.747 4.565 -1.388
-2.017 -0.539 12.032
Ti V W
2 5 2
direct
0.251 0.860 0.661
0.749 0.140 0.339
0.112 0.411 0.203
0.818 0.255 0.596
0.000 0.000 0.000
0.888 0.589 0.797
0.182 0.745 0.404
0.580 0.716 0.111
0.420 0.284 0.889
```

## Properties
The symmetry is No. 2. Its calculated formation energy is 0.099 eV/atom. As for the total energy: -9.60 eV per atom. For the relative energy among the computed polymorphs, the calculation gives 0.000 eV/atom.